# 1
This record from Alexandria describes a relaxed structure of MgHgCl2. The functional is PBE.

Calculated values
Raw formation energy = -0.603 eV per atom
Total magnetic moment = 0.00 μB per formula unit
Space-group type = Fm-3m (225)
Energy relative to the lowest polymorph listed for this composition = 773 meV per atom
Total DFT energy (no corrections) = -2.00 eV per atom

The structure in CIF format:
```
data_MgHgCl2
_space_group_name_H-M_alt 'P 1'
_space_group_IT_number 1
_cell_length_a 5.085
_cell_length_b 5.085
_cell_length_c 5.085
_cell_angle_alpha 60.00
_cell_angle_beta 60.00
_cell_angle_gamma 60.00
loop_
_space_group_symop_operation_xyz
'x,y,z'
loop_
_atom_site_label
_atom_site_fract_x
_atom_site_fract_y
_atom_site_fract_z
Mg1 0.000 0.000 0.000
Hg1 0.500 0.500 0.500
Cl1 0.250 0.250 0.250
Cl2 0.750 0.750 0.750
```

---

# 2
This record from Alexandria describes a relaxed structure of MgHg4Cl. The functional is PBE.

Calculated values
Raw formation energy = -0.064 eV per atom
Total magnetic moment = 0.00 μB per formula unit
Space-group type = F-43m (216)
Total DFT energy (no corrections) = -0.84 eV per atom

The structure in CIF format:
```
data_MgHg4Cl
_space_group_name_H-M_alt 'P 1'
_space_group_IT_number 1
_cell_length_a 6.112
_cell_length_b 6.112
_cell_length_c 6.112
_cell_angle_alpha 60.00
_cell_angle_beta 60.00
_cell_angle_gamma 60.00
loop_
_space_group_symop_operation_xyz
'x,y,z'
loop_
_atom_site_label
_atom_site_fract_x
_atom_site_fract_y
_atom_site_fract_z
Mg1 0.750 0.750 0.750
Hg1 0.875 0.375 0.375
Hg2 0.375 0.375 0.875
Hg3 0.375 0.875 0.375
Hg4 0.375 0.375 0.375
Cl1 0.000 0.000 0.000
```

---

# 3
This record from Alexandria describes a relaxed structure of MgHgCl2. The functional is PBE.

Calculated values
Raw formation energy = -1.234 eV per atom
Total magnetic moment = 0.00 μB per formula unit
Space-group type = Cm (8)
Energy relative to the lowest polymorph listed for this composition = 142 meV per atom
Total DFT energy (no corrections) = -2.63 eV per atom

The structure in CIF format:
```
data_MgHgCl2
_space_group_name_H-M_alt 'P 1'
_space_group_IT_number 1
_cell_length_a 7.612
_cell_length_b 7.612
_cell_length_c 6.518
_cell_angle_alpha 60.08
_cell_angle_beta 60.08
_cell_angle_gamma 26.62
loop_
_space_group_symop_operation_xyz
'x,y,z'
loop_
_atom_site_label
_atom_site_fract_x
_atom_site_fract_y
_atom_site_fract_z
Cl1 0.925 0.925 0.085
Cl2 0.732 0.732 0.966
Hg1 0.499 0.499 0.470
Mg1 0.343 0.343 0.979
```

---

# 4
This record from Alexandria describes a relaxed structure of Mg2HgCl. The functional is PBE.

Calculated values
Raw formation energy = -0.275 eV per atom
Total magnetic moment = 0.00 μB per formula unit
Space-group type = Fm-3m (225)
Energy relative to the lowest polymorph listed for this composition = 357 meV per atom
Total DFT energy (no corrections) = -1.61 eV per atom

The structure in CIF format:
```
data_Mg2HgCl
_space_group_name_H-M_alt 'P 1'
_space_group_IT_number 1
_cell_length_a 5.133
_cell_length_b 5.133
_cell_length_c 5.133
_cell_angle_alpha 60.00
_cell_angle_beta 60.00
_cell_angle_gamma 60.00
loop_
_space_group_symop_operation_xyz
'x,y,z'
loop_
_atom_site_label
_atom_site_fract_x
_atom_site_fract_y
_atom_site_fract_z
Mg1 0.250 0.250 0.250
Mg2 0.750 0.750 0.750
Hg1 0.500 0.500 0.500
Cl1 0.000 0.000 0.000
```

---

# 5
This record from Alexandria describes a relaxed structure of Mg2HgCl. The functional is PBE.

Calculated values
Raw formation energy = -0.454 eV per atom
Total magnetic moment = 0.00 μB per formula unit
Space-group type = Immm (71)
Energy relative to the lowest polymorph listed for this composition = 178 meV per atom
Total DFT energy (no corrections) = -1.79 eV per atom

The structure in CIF format:
```
data_Mg2HgCl
_space_group_name_H-M_alt 'P 1'
_space_group_IT_number 1
_cell_length_a 5.715
_cell_length_b 5.715
_cell_length_c 5.715
_cell_angle_alpha 145.86
_cell_angle_beta 112.71
_cell_angle_gamma 77.66
loop_
_space_group_symop_operation_xyz
'x,y,z'
loop_
_atom_site_label
_atom_site_fract_x
_atom_site_fract_y
_atom_site_fract_z
Cl1 0.750 0.250 0.500
Hg1 0.250 0.750 0.500
Mg1 0.982 0.982 0.000
Mg2 0.518 0.518 0.000
```

---

# 6
This record from Alexandria describes a relaxed structure of MgHgCl4. The functional is PBE.

Calculated values
Raw formation energy = 0.120 eV per atom
Total magnetic moment = 2.05 μB per formula unit
Space-group type = F-43m (216)
Energy relative to the lowest polymorph listed for this composition = 1312 meV per atom
Total DFT energy (no corrections) = -1.43 eV per atom

The structure in CIF format:
```
data_MgHgCl4
_space_group_name_H-M_alt 'P 1'
_space_group_IT_number 1
_cell_length_a 5.982
_cell_length_b 5.982
_cell_length_c 5.982
_cell_angle_alpha 60.00
_cell_angle_beta 60.00
_cell_angle_gamma 60.00
loop_
_space_group_symop_operation_xyz
'x,y,z'
loop_
_atom_site_label
_atom_site_fract_x
_atom_site_fract_y
_atom_site_fract_z
Mg1 0.000 0.000 0.000
Hg1 0.750 0.750 0.750
Cl1 0.876 0.375 0.375
Cl2 0.375 0.375 0.876
Cl3 0.375 0.876 0.375
Cl4 0.375 0.375 0.375
```

---

# 7
This record from Alexandria describes a relaxed structure of MgHgCl2. The functional is PBE.

Calculated values
Raw formation energy = -0.530 eV per atom
Total magnetic moment = 0.00 μB per formula unit
Space-group type = I-4m2 (119)
Energy relative to the lowest polymorph listed for this composition = 846 meV per atom
Total DFT energy (no corrections) = -1.93 eV per atom

The structure in CIF format:
```
data_MgHgCl2
_space_group_name_H-M_alt 'P 1'
_space_group_IT_number 1
_cell_length_a 5.812
_cell_length_b 5.812
_cell_length_c 5.812
_cell_angle_alpha 136.22
_cell_angle_beta 136.22
_cell_angle_gamma 63.65
loop_
_space_group_symop_operation_xyz
'x,y,z'
loop_
_atom_site_label
_atom_site_fract_x
_atom_site_fract_y
_atom_site_fract_z
Cl1 0.000 0.000 0.000
Cl2 0.250 0.750 0.500
Hg1 0.500 0.500 0.000
Mg1 0.750 0.250 0.500
```

---

# 8
This record from Alexandria describes a relaxed structure of Mg2HgCl. The functional is PBE.

Calculated values
Raw formation energy = -0.620 eV per atom
Total magnetic moment = 0.00 μB per formula unit
Space-group type = R-3m (166)
Energy relative to the lowest polymorph listed for this composition = 12 meV per atom
Total DFT energy (no corrections) = -1.95 eV per atom

The structure in CIF format:
```
data_Mg2HgCl
_space_group_name_H-M_alt 'P 1'
_space_group_IT_number 1
_cell_length_a 8.166
_cell_length_b 8.166
_cell_length_c 8.166
_cell_angle_alpha 25.28
_cell_angle_beta 25.28
_cell_angle_gamma 25.28
loop_
_space_group_symop_operation_xyz
'x,y,z'
loop_
_atom_site_label
_atom_site_fract_x
_atom_site_fract_y
_atom_site_fract_z
Cl1 0.250 0.250 0.250
Hg1 0.750 0.750 0.750
Mg1 0.001 0.001 0.001
Mg2 0.499 0.499 0.499
```

---

# 9
This record from Alexandria describes a relaxed structure of Mg2HgCl. The functional is PBE.

Calculated values
Raw formation energy = -0.485 eV per atom
Total magnetic moment = 0.00 μB per formula unit
Space-group type = Pmm2 (25)
Energy relative to the lowest polymorph listed for this composition = 147 meV per atom
Total DFT energy (no corrections) = -1.82 eV per atom

The structure in CIF format:
```
data_Mg2HgCl
_space_group_name_H-M_alt 'P 1'
_space_group_IT_number 1
_cell_length_a 3.430
_cell_length_b 4.679
_cell_length_c 5.739
_cell_angle_alpha 90.00
_cell_angle_beta 90.00
_cell_angle_gamma 90.00
loop_
_space_group_symop_operation_xyz
'x,y,z'
loop_
_atom_site_label
_atom_site_fract_x
_atom_site_fract_y
_atom_site_fract_z
Cl1 0.000 0.000 0.364
Hg1 0.500 0.500 0.867
Mg1 0.000 0.000 0.900
Mg2 0.500 0.500 0.369
```

---

# 10
This record from Alexandria describes a relaxed structure of Mg2HgCl. The functional is PBE.

Calculated values
Raw formation energy = -0.455 eV per atom
Total magnetic moment = 0.00 μB per formula unit
Space-group type = I-42d (122)
Energy relative to the lowest polymorph listed for this composition = 177 meV per atom
Total DFT energy (no corrections) = -1.79 eV per atom

The structure in CIF format:
```
data_Mg2HgCl
_space_group_name_H-M_alt 'P 1'
_space_group_IT_number 1
_cell_length_a 7.447
_cell_length_b 7.447
_cell_length_c 6.298
_cell_angle_alpha 53.76
_cell_angle_beta 53.76
_cell_angle_gamma 90.00
loop_
_space_group_symop_operation_xyz
'x,y,z'
loop_
_atom_site_label
_atom_site_fract_x
_atom_site_fract_y
_atom_site_fract_z
Mg1 0.606 0.125 0.250
Mg2 0.144 0.625 0.250
Mg3 0.375 0.394 0.750
Mg4 0.875 0.856 0.750
Hg1 0.000 0.000 0.000
Hg2 0.750 0.250 0.500
Cl1 0.500 0.500 0.000
Cl2 0.250 0.750 0.500
```